No. 1
Computed, not measured: a geometry-optimized Na2AcCdSb2 structure at the PBE level of DFT.

## Properties
Crystal system: orthorhombic
Symmetry: Pmc2_1 (26)
Calculated density, g cm⁻³: 5.6
Uncorrected formation energy, eV per atom: -0.56

abc: 4.9157 8.0090 9.3940
angles: 90.00 90.00 90.00
Last column: nearest neighbours and their distance in Å.
Atoms (fractional coordinates):
Na 0.5000 0.0273 0.0759  3 Sb 3.29-3.42, 4 Na 3.55-3.65
Na 0.0000 0.3520 0.1524  4 Sb 3.11-3.21
Na 0.5000 0.5273 0.9241  3 Sb 3.29-3.42, 4 Na 3.55-3.65
Na 0.0000 0.8520 0.8476  4 Sb 3.11-3.21
Ac 0.0000 0.9936 0.4593  5 Sb 3.37-3.50, 2 Cd 3.52
Ac 0.0000 0.4936 0.5407  5 Sb 3.37-3.50, 2 Cd 3.52
Cd 0.5000 0.1562 0.6888  4 Sb 2.90-3.22
Cd 0.5000 0.6562 0.3112  4 Sb 2.90-3.22
Sb 0.0000 0.2495 0.8328  2 Cd 2.90, 2 Na 3.11-3.19
Sb 0.5000 0.2670 0.3598  2 Cd 3.15-3.22, 3 Na 3.21-3.29, 4 Ac 3.42-3.50
Sb 0.0000 0.7495 0.1672  2 Cd 2.90, 2 Na 3.11-3.19
Sb 0.5000 0.7670 0.6402  2 Cd 3.15-3.22, 3 Na 3.21-3.29, 4 Ac 3.42-3.50



No. 2
Computed, not measured: a geometry-optimized InMoCl structure at the PBE level of DFT.

## Properties
Crystal system: trigonal
Symmetry: P3m1 (156)
Energy above the most stable polymorph in this dataset, meV/atom: 0
Calculated density, g cm⁻³: 6.3
Uncorrected formation energy, eV per atom: 0.06

abc: 3.0802 3.0802 7.9158
angles: 90.00 90.00 120.00
Last column: nearest neighbours and their distance in Å.
Atoms (fractional coordinates):
Cl 0.0000 0.0000 0.9106  3 Mo 2.44
In 0.6667 0.3333 0.3904  3 Mo 3.02, 6 In 3.08
Mo 0.3333 0.6667 0.6990  3 Cl 2.44



No. 3
Computed, not measured: a geometry-optimized Tm5Tl2Ga structure at the PBE level of DFT.

## Properties
Crystal system: orthorhombic
Symmetry: Pbam (55)
Energy above the most stable polymorph in this dataset, meV/atom: 0
Calculated density, g cm⁻³: 10.3
DFT formation energy, eV per atom: -0.348

abc: 4.9458 6.7929 12.6399
angles: 90.00 90.00 90.00
Last column: nearest neighbours and their distance in Å.
Atoms (fractional coordinates):
Tm 0.0000 0.0000 0.5000  4 Tl 3.25, 2 Ga 3.40, 4 Tm 3.57
Tm 0.0000 0.5000 0.0000  4 Tl 3.25, 2 Ga 3.40, 4 Tm 3.57
Tm 0.0000 0.8607 0.2213  1 Ga 2.95, 2 Tl 3.12
Tm 0.0000 0.1393 0.7787  1 Ga 2.95, 2 Tl 3.12
Tm 0.0000 0.6393 0.7213  1 Ga 2.95, 2 Tl 3.12
Tm 0.0000 0.3607 0.2787  1 Ga 2.95, 2 Tl 3.12
Tm 0.5000 0.6644 0.4058  2 Ga 2.96, 2 Tl 3.12-3.18, 1 Tm 3.26
Tm 0.5000 0.3356 0.5942  2 Ga 2.96, 2 Tl 3.12-3.18, 1 Tm 3.26
Tm 0.5000 0.8356 0.9058  2 Ga 2.96, 2 Tl 3.12-3.18, 1 Tm 3.26
Tm 0.5000 0.1644 0.0942  2 Ga 2.96, 2 Tl 3.12-3.18, 1 Tm 3.26
Tl 0.5000 0.6089 0.1561  8 Tm 3.12-3.37
Tl 0.5000 0.3911 0.8439  8 Tm 3.12-3.37
Tl 0.5000 0.8911 0.6561  8 Tm 3.12-3.37
Tl 0.5000 0.1089 0.3439  8 Tm 3.12-3.37
Ga 0.0000 0.5000 0.5000  6 Tm 2.95-2.96
Ga 0.0000 0.0000 0.0000  6 Tm 2.95-2.96



Question: calculated density of number 2 (InMoCl)?
Answer: 6.3 g cm⁻³



Question: What is the calculated density in the third record?
Answer: 10.3 g cm⁻³



Question: calculated density of number 3 (Tm5Tl2Ga)?
Answer: 10.3 g cm⁻³